Here is a geometry-optimized LiZnSO4F structure from Alexandria via LeMat-Bulk. Energies are from GGA-PBE.

Results
Magnetization ... 0.00 μB per atom
Uncorrected energy ... -5.425 eV per atom
Formation energy from raw total energies ... -1797 meV/atom

Lattice parameters (Å, degrees): 7.4457 6.3029 7.7743 90.00 90.00 90.00
With the nearest neighbours (Å) after each atom.
Space group Pnma (No. 62)
Symmetry-distinct sites (fractional):
Li (0.0000, 0.0000, 0.0000) (multiplicity 4)  2 F 2.06, 4 O 2.13-2.20
Zn (0.1274, 0.2500, 0.3023) (multiplicity 4)  3 O 1.99-2.03, 2 F 2.05-2.15
S (0.1352, 0.7500, 0.3538) (multiplicity 4)  4 O 1.48-1.50
O (0.0300, 0.2500, 0.5407) (multiplicity 4)  1 S 1.48
O (0.1336, 0.5610, 0.2365) (multiplicity 8)  1 S 1.50
O (0.2014, 0.2500, 0.9618) (multiplicity 4)  1 S 1.48
F (0.1043, 0.7500, 0.8619) (multiplicity 4)  2 Zn 2.05-2.15, 2 Li 2.06

---

Here is a geometry-optimized LiSbOF2 structure from Alexandria via LeMat-Bulk. Energies are from GGA-PBE.

Results
Magnetization ... 0.00 μB per atom
Uncorrected energy ... -4.718 eV per atom
Energy above the lowest structure with this stoichiometry ... 0.0000 eV per atom
Formation energy from raw total energies ... -1771 meV/atom

Lattice parameters (Å, degrees): 3.5679 3.5679 4.1728 90.00 90.00 90.00
With the nearest neighbours (Å) after each atom.
Space group P4/mmm (No. 123)
Symmetry-distinct sites (fractional):
Li (0.0000, 0.0000, 0.0000) (multiplicity 1)  4 F 1.78
Sb (0.5000, 0.5000, 0.5000) (multiplicity 1)  4 O 2.52, 8 F 2.75
O (0.0000, 0.0000, 0.5000) (multiplicity 1)  2 Li 2.09
F (0.0000, 0.5000, 0.0000) (multiplicity 2)  2 Li 1.78

---

Here is a geometry-optimized LiSbO2F structure from Alexandria via LeMat-Bulk. Energies are from GGA-PBE.

Results
Magnetization ... 0.00 μB per atom
Uncorrected energy ... -4.662 eV per atom
Formation energy from raw total energies ... -1097 meV/atom

Lattice parameters (Å, degrees): 3.8085 3.8085 3.4973 90.00 90.00 90.00
With the nearest neighbours (Å) after each atom.
Space group P4/mmm (No. 123)
Symmetry-distinct sites (fractional):
Li (0.0000, 0.0000, 0.0000) (multiplicity 1)  2 F 1.75, 4 O 1.90
Sb (0.5000, 0.5000, 0.5000) (multiplicity 1)  8 O 2.59, 4 F 2.69
O (0.0000, 0.5000, 0.0000) (multiplicity 2)  2 Li 1.90
F (0.0000, 0.0000, 0.5000) (multiplicity 1)  2 Li 1.75

---

Here is a geometry-optimized LiSbO2F structure from Alexandria via LeMat-Bulk. Energies are from GGA-PBE.

Results
Magnetization ... 0.00 μB per atom
Uncorrected energy ... -5.090 eV per atom
Formation energy from raw total energies ... -1525 meV/atom

Lattice parameters (Å, degrees): 4.1080 4.1080 4.3802 90.00 90.00 90.00
With the nearest neighbours (Å) after each atom.
Space group P4/mmm (No. 123)
Symmetry-distinct sites (fractional):
Li (0.0000, 0.0000, 0.0000) (multiplicity 1)  4 F 2.90, 8 O 3.00
Sb (0.5000, 0.5000, 0.5000) (multiplicity 1)  4 O 2.05, 2 F 2.19
O (0.0000, 0.5000, 0.5000) (multiplicity 2)  2 Sb 2.05
F (0.5000, 0.5000, 0.0000) (multiplicity 1)  2 Sb 2.19

---

Here is a geometry-optimized LiSbOF2 structure from Alexandria via LeMat-Bulk. Energies are from GGA-PBE.

Results
Magnetization ... 0.00 μB per atom
Uncorrected energy ... -4.646 eV per atom
Energy above the lowest structure with this stoichiometry ... 0.0729 eV per atom
Formation energy from raw total energies ... -1698 meV/atom

Lattice parameters (Å, degrees): 4.5353 4.5353 4.2770 90.00 90.00 90.00
With the nearest neighbours (Å) after each atom.
Space group P4/mmm (No. 123)
Symmetry-distinct sites (fractional):
Li (0.0000, 0.0000, 0.0000) (multiplicity 1)  8 F 3.12, 4 O 3.21
Sb (0.5000, 0.5000, 0.5000) (multiplicity 1)  2 O 2.14, 4 F 2.27
O (0.5000, 0.5000, 0.0000) (multiplicity 1)  2 Sb 2.14
F (0.0000, 0.5000, 0.5000) (multiplicity 2)  2 Sb 2.27

---

Here is a geometry-optimized LiScO2F structure from Alexandria via LeMat-Bulk. Energies are from GGA-PBE.

Results
Magnetization ... 0.20 μB per atom
Uncorrected energy ... -6.077 eV per atom
Formation energy from raw total energies ... -2071 meV/atom

Lattice parameters (Å, degrees): 3.6317 3.6317 3.4733 90.00 90.00 90.00
With the nearest neighbours (Å) after each atom.
Space group P4/mmm (No. 123)
Symmetry-distinct sites (fractional):
Li (0.0000, 0.0000, 0.0000) (multiplicity 1)  2 F 1.74, 4 O 1.82
Sc (0.5000, 0.5000, 0.5000) (multiplicity 1)  8 O 2.51, 4 F 2.57
O (0.0000, 0.5000, 0.0000) (multiplicity 2)  2 Li 1.82
F (0.0000, 0.0000, 0.5000) (multiplicity 1)  2 Li 1.74